1.
The following is a PBE calculation of a geometry-optimized SmErMgIn structure, from Alexandria.

abc: 7.554 7.554 7.554
angles: 90.00 90.00 90.00
Element x y z (fractional)
Sm 0.000 0.000 0.000
Sm 0.000 0.500 0.500
Sm 0.500 0.000 0.500
Sm 0.500 0.500 0.000
Er 0.000 0.000 0.500
Er 0.000 0.500 0.000
Er 0.500 0.000 0.000
Er 0.500 0.500 0.500
Mg 0.250 0.250 0.250
Mg 0.250 0.750 0.750
Mg 0.750 0.250 0.750
Mg 0.750 0.750 0.250
In 0.250 0.250 0.750
In 0.250 0.750 0.250
In 0.750 0.250 0.250
In 0.750 0.750 0.750

Summary:
DOS at the Fermi energy in states/eV per cell: 10.61
Calculated formation energy in eV per atom: -0.320
Total energy in eV/f.u.: -14.9


2.
The following is a PBE calculation of a geometry-optimized ErMgInSn structure, from Alexandria.

abc: 7.389 7.389 7.389
angles: 90.00 90.00 90.00
Element x y z (fractional)
Er 0.000 0.000 0.000
Er 0.000 0.500 0.500
Er 0.500 0.000 0.500
Er 0.500 0.500 0.000
Mg 0.000 0.000 0.500
Mg 0.000 0.500 0.000
Mg 0.500 0.000 0.000
Mg 0.500 0.500 0.500
In 0.250 0.250 0.750
In 0.250 0.750 0.250
In 0.750 0.250 0.250
In 0.750 0.750 0.750
Sn 0.250 0.250 0.250
Sn 0.250 0.750 0.750
Sn 0.750 0.250 0.750
Sn 0.750 0.750 0.250

Summary:
E above lowest polymorph in eV/atom: 0.177
DOS at the Fermi energy in states/eV per cell: 15.81
Calculated formation energy in eV per atom: -0.253
Total energy in eV/f.u.: -13.9


3.
The following is a PBE calculation of a geometry-optimized ErMgInSn structure, from Alexandria.

abc: 4.433 4.591 4.748
angles: 90.00 90.00 90.00
Element x y z (fractional)
Er 0.000 0.000 0.000
Mg 0.000 0.500 0.500
In 0.500 0.000 0.500
Sn 0.500 0.500 0.000

Summary:
E above lowest polymorph in eV/atom: 0.000
DOS at the Fermi energy in states/eV per cell: 1.87
Calculated formation energy in eV per atom: -0.430
Total energy in eV/f.u.: -14.6


4.
The following is a PBE calculation of a geometry-optimized Er3MgIn3Te8 structure, from Alexandria.

abc: 9.135 9.135 9.135
angles: 56.87 56.87 56.87
Element x y z (fractional)
Er 0.000 0.500 0.500
Er 0.500 0.000 0.500
Er 0.500 0.500 0.000
Mg 0.000 0.000 0.000
In 0.000 0.000 0.500
In 0.000 0.500 0.000
In 0.500 0.000 0.000
Te 0.238 0.238 0.748
Te 0.238 0.748 0.238
Te 0.252 0.762 0.762
Te 0.256 0.256 0.256
Te 0.744 0.744 0.744
Te 0.748 0.238 0.238
Te 0.762 0.252 0.762
Te 0.762 0.762 0.252

Summary:
DOS at the Fermi energy in states/eV per cell: 7.64
Uncorrected formation energy in eV/atom: -0.83
Total energy in eV/f.u.: -61.1


5.
The following is a PBE calculation of a geometry-optimized Er2MgIn3Te6 structure, from Alexandria.

abc: 7.587 7.587 8.166
angles: 98.90 98.90 120.11
Element x y z (fractional)
Er 0.166 0.834 0.000
Er 0.834 0.166 0.000
Mg 0.500 0.500 0.000
In 0.000 0.000 0.500
In 0.330 0.670 0.500
In 0.670 0.330 0.500
Te 0.097 0.427 0.779
Te 0.244 0.244 0.223
Te 0.427 0.097 0.779
Te 0.573 0.903 0.221
Te 0.756 0.756 0.777
Te 0.903 0.573 0.221

Summary:
DOS at the Fermi energy in states/eV per cell: 4.37
Uncorrected formation energy in eV/atom: -0.79
Total energy in eV/f.u.: -47.3


6.
The following is a PBE calculation of a geometry-optimized Er3MgIn4Te8 structure, from Alexandria.

abc: 9.339 9.339 9.339
angles: 55.96 55.96 55.96
Element x y z (fractional)
Er 0.000 0.500 0.500
Er 0.500 0.000 0.500
Er 0.500 0.500 0.000
Mg 0.000 0.000 0.000
In 0.000 0.000 0.500
In 0.000 0.500 0.000
In 0.500 0.000 0.000
In 0.500 0.500 0.500
Te 0.238 0.238 0.743
Te 0.238 0.743 0.238
Te 0.257 0.762 0.762
Te 0.259 0.259 0.259
Te 0.741 0.741 0.741
Te 0.743 0.238 0.238
Te 0.762 0.257 0.762
Te 0.762 0.762 0.257

Summary:
DOS at the Fermi energy in states/eV per cell: 5.65
Uncorrected formation energy in eV/atom: -0.83
Total energy in eV/f.u.: -64.7


| no. | theoretical density (g/cm³) |
| --- | --- |
| 1 | 7.039 |
| 2 | 6.998 |
| 3 | 7.304 |
| 4 | 6.281 |
| 5 | 6.309 |
| 6 | 6.381 |